1.
A relaxed Sn4Te2AuSe crystal. Source: the Alexandria database, functional GGA-PBE.

abc: 7.4878 4.2858 7.5385
angles: 90.00 109.27 90.00
With the nearest neighbours (Å) after each atom.
Space group P2/m (No. 10)
Unique sites:
1 Sn 0.2198 0.0000 0.2330 [2 per cell]  2 Au 2.91, 1 Se 2.99, 3 Te 3.15-3.20
2 Sn 0.2242 0.5000 0.7513 [2 per cell]  1 Au 2.90, 2 Se 2.98, 3 Te 3.13-3.23
3 Te 0.5000 0.0000 0.0000 [1 per cell]  6 Sn 3.13-3.15
4 Te 0.5000 0.5000 0.5000 [1 per cell]  6 Sn 3.20-3.23
5 Au 0.0000 0.5000 0.0000 [1 per cell]  6 Sn 2.90-2.91
6 Se 0.0000 0.0000 0.5000 [1 per cell]  6 Sn 2.98-2.99

## Properties
- Total energy: -31.12 eV per cell
- Density of states at the Fermi level: 2.623 states/eV/f.u.
- Volume: 228.4 Å³ per cell
- Formation energy without anion corrections: -0.258 eV per atom

2.
A relaxed Tl2SnAuSe4 crystal. Source: the Alexandria database, functional GGA-PBE.

abc: 10.5419 8.2602 7.5653
angles: 90.00 133.04 90.00
With the nearest neighbours (Å) after each atom.
Space group C2 (No. 5)
Unique sites:
1 Tl 0.0000 0.0000 0.0000 [2 per cell]  4 Se 3.07-3.26, 1 Au 3.19
2 Tl 0.0000 0.3508 0.5000 [2 per cell]  8 Se 3.39-3.61
3 Sn 0.0000 0.8531 0.5000 [2 per cell]  4 Se 2.60-2.62
4 Au 0.0000 0.6139 0.0000 [2 per cell]  4 Se 2.56-2.66
5 Se 0.1813 0.6828 0.8985 [4 per cell]  1 Au 2.56, 1 Sn 2.62
6 Se 0.2234 0.0326 0.5460 [4 per cell]  1 Sn 2.60, 1 Au 2.66

## Properties
- Total energy: -56.47 eV per cell
- Density of states at the Fermi level: 3.387 states/eV/f.u.
- Volume: 481.5 Å³ per cell
- Formation energy without anion corrections: -0.286 eV per atom

3.
A relaxed TlSnAuSe2 crystal. Source: the Alexandria database, functional GGA-PBE.

abc: 7.4981 5.2943 8.3062
angles: 90.00 111.81 90.00
With the nearest neighbours (Å) after each atom.
Space group P2/c (No. 13)
Unique sites:
1 Tl 0.0000 0.1896 0.2500 [2 per cell]  6 Se 3.31-3.47, 2 Au 3.69
2 Sn 0.5000 0.3928 0.7500 [2 per cell]  2 Se 2.80, 2 Au 2.94
3 Au 0.5000 0.0000 0.0000 [2 per cell]  2 Se 2.49
4 Se 0.2424 0.2990 0.9956 [4 per cell]  1 Au 2.49

## Properties
- Total energy: -36.16 eV per cell
- Density of states at the Fermi level: 0.348 states/eV/f.u.
- Volume: 306.1 Å³ per cell
- Formation energy without anion corrections: -0.293 eV per atom